# 1
The following is a DFT calculation (PBE) of crystalline MgPd2Cl at its relaxed geometry. Values from VASP.

Results
Polymorph energy (0 for the lowest one) = 78 meV/atom
Symmetry = Fm-3m, No. 225
Size of the total moment = 0.00 μB per cell
Fermi-level density of states = 0.240 states/eV/atom
Calculated volume = 16.8 Å³/atom

Quantum ESPRESSO input file:
```
&SYSTEM
  ibrav = 0, nat = 4, ntyp = 3
/
ATOMIC_SPECIES
Mg 24.30 Mg.upf
Pd 106.42 Pd.upf
Cl 35.45 Cl.upf
CELL_PARAMETERS angstrom
0.000 3.226 3.226
3.226 0.000 3.226
3.226 3.226 0.000
ATOMIC_POSITIONS crystal
Mg 0.000 0.000 0.000
Pd 0.250 0.250 0.250
Pd 0.750 0.750 0.750
Cl 0.500 0.500 0.500
```


# 2
The following is a DFT calculation (PBE) of crystalline MgPdCl3 at its relaxed geometry. Values from VASP.

Results
Polymorph energy (0 for the lowest one) = 0 meV/atom
Symmetry = Pm-3m, No. 221
Size of the total moment = 1.00 μB per cell
Fermi-level density of states = 2.557 states/eV/atom
Calculated volume = 23.3 Å³/atom

Quantum ESPRESSO input file:
```
&SYSTEM
  ibrav = 0, nat = 5, ntyp = 3
/
ATOMIC_SPECIES
Mg 24.30 Mg.upf
Pd 106.42 Pd.upf
Cl 35.45 Cl.upf
CELL_PARAMETERS angstrom
4.882 0.000 0.000
0.000 4.882 0.000
0.000 0.000 4.882
ATOMIC_POSITIONS crystal
Mg 0.000 0.000 0.000
Pd 0.500 0.500 0.500
Cl 0.000 0.500 0.000
Cl 0.000 0.000 0.500
Cl 0.500 0.000 0.000
```


The evaluated energy relative to the elements, uncorrected for the records listed, in turn: -17.3 -65.4 kJ/mol of atoms.